Compound: CsTmVF6
Source: the Alexandria database
Functional: GGA+U
Structure: optimized geometry

Results
The calculation puts the energy at -6.05 eV/atom. As for the symmetry: Imma (74). For the spin magnetization, the calculation gives 6.000 μB per cell.

a b c (Å): 8.086 7.815 7.920
angles (deg): 119.56 120.70 90.00
Atoms (fractional coordinates):
Cs1 0.837 0.587 0.674
Cs2 0.163 0.413 0.326
Tm1 0.500 0.000 0.500
Tm2 0.000 0.000 0.500
V1 0.500 0.500 0.000
V2 0.500 0.000 0.000
F1 0.432 0.682 0.865
F2 0.821 0.071 0.642
F3 0.818 0.079 0.257
F4 0.439 0.678 0.257
F5 0.439 0.079 0.257
F6 0.818 0.678 0.257
F7 0.568 0.318 0.135
F8 0.179 0.929 0.358
F9 0.182 0.921 0.743
F10 0.561 0.322 0.743
F11 0.561 0.921 0.743
F12 0.182 0.322 0.743